Crystalline BeCuPbAu at its relaxed geometry. Source: OQMD via LeMat-Bulk, functional PBE-GGA.

The calculation puts the offset from the most stable computed form at 2.454 kcal/mol of atoms. The calculated density is 11.1 Mg/m³.

It has space group F-43m (No. 216), with a = 6.586 Å, b = 6.586 Å, c = 6.586 Å, α = 90.00°, β = 90.00° and γ = 90.00°. The inequivalent atoms are Be at (0.000, 0.000, 0.000), Cu at (0.250, 0.250, 0.750), Pb at (0.000, 0.000, 0.500) and Au at (0.250, 0.250, 0.250).

=====

Crystalline RbPmH2 at its relaxed geometry. Source: OQMD via LeMat-Bulk, functional PBE-GGA.

The calculation puts the magnetization at 0.31 μB/atom. The total energy comes out at -3.018 eV per atom. The calculated density is 4.9 Mg/m³.

It has space group P4/mmm (No. 123), with a = 3.799 Å, b = 3.799 Å, c = 5.439 Å, α = 90.00°, β = 90.00° and γ = 90.00°. The inequivalent atoms are Rb at (0.000, 0.000, 0.000), Pm at (0.500, 0.500, 0.500), H at (0.000, 0.000, 0.500) and H at (0.500, 0.500, 0.000).

=====

Crystalline ZrIrPt at its relaxed geometry. Source: OQMD via LeMat-Bulk, functional PBE-GGA.

The calculation puts the offset from the most stable computed form at 0.000 kcal/mol of atoms. The calculation puts the magnetization at 0.00 μB/atom. For the formation enthalpy at 0 K, the calculation gives -0.330 eV/atom. The calculated density is 13.1 Mg/m³.

It has space group F-43m (No. 216), with a = 6.241 Å, b = 6.241 Å, c = 6.241 Å, α = 90.00°, β = 90.00° and γ = 90.00°. The inequivalent atoms are Zr at (0.000, 0.000, 0.000), Ir at (0.250, 0.250, 0.750) and Pt at (0.000, 0.000, 0.500).

=====

Crystalline LaZrAsO at its relaxed geometry. Source: OQMD via LeMat-Bulk, functional PBE-GGA.

The calculation puts the offset from the most stable computed form at 1.543 kcal/mol of atoms. The calculation puts the magnetization at 0.00 μB/atom. The calculated density is 6.6 Mg/m³.

It has space group Pmc2_1 (No. 26), with a = 4.319 Å, b = 5.127 Å, c = 7.320 Å, α = 90.00°, β = 90.00° and γ = 90.00°. The inequivalent atoms are La at (0.000, 0.153, 0.000), Zr at (0.500, 0.358, 0.355), As at (0.500, 0.152, 0.706) and O at (0.000, 0.348, 0.347).

=====

Q: Look up the calculated density of the third one.
A: 13.1 Mg/m³

=====

Q: What is the calculated density in the first record?
A: 11.1 Mg/m³

=====

Q: The highest calculated density belongs to which entry?
A: ZrIrPt

=====

Copy entry 1 word for word.
Crystalline BeCuPbAu at its relaxed geometry. Source: OQMD via LeMat-Bulk, functional PBE-GGA.

The calculation puts the offset from the most stable computed form at 2.454 kcal/mol of atoms. The calculated density is 11.1 Mg/m³.

It has space group F-43m (No. 216), with a = 6.586 Å, b = 6.586 Å, c = 6.586 Å, α = 90.00°, β = 90.00° and γ = 90.00°. The inequivalent atoms are Be at (0.000, 0.000, 0.000), Cu at (0.250, 0.250, 0.750), Pb at (0.000, 0.000, 0.500) and Au at (0.250, 0.250, 0.250).